1.
VASP calculation (PBE) on a geometry-optimized LiAlPO4F structure.

abc: 5.128 5.196 7.039
angles: 107.95 107.45 98.30
Fractional positions:
1 Al 0.000 0.000 0.500
2 O 0.878 0.315 0.127
3 P 0.325 0.649 0.747
4 F 0.086 0.921 0.251
5 O 0.361 0.239 0.104
6 O 0.742 0.207 0.418
7 O 0.639 0.761 0.896
8 O 0.705 0.667 0.367
9 O 0.258 0.793 0.582
10 O 0.295 0.333 0.633
11 Li 0.725 0.378 0.733
12 P 0.675 0.351 0.253
13 O 0.122 0.685 0.873
14 F 0.914 0.079 0.749
15 Li 0.275 0.622 0.267
16 Al 0.000 0.000 0.000

Symmetry ... P-1, No. 2
E_form (uncorrected) ... -2725 meV/atom
Total moment ... 0.00 μB per formula unit

=====

2.
VASP calculation (PBE) on a geometry-optimized LiAlPbF6 structure.

abc: 5.192 5.192 5.236
angles: 90.01 89.99 59.98
Fractional positions:
1 F 0.611 0.031 0.300
2 Pb 0.000 0.000 0.000
3 F 0.031 0.611 0.700
4 F 0.358 0.611 0.300
5 F 0.031 0.358 0.300
6 F 0.358 0.031 0.700
7 Al 0.333 0.333 0.500
8 F 0.611 0.358 0.700
9 Li 0.667 0.667 0.500

Symmetry ... P312, No. 149
E_form (uncorrected) ... -3069 meV/atom
Total moment ... 0.00 μB per formula unit

=====

3.
VASP calculation (PBE) on a geometry-optimized Li2PmAlF8 structure.

abc: 4.660 4.716 6.711
angles: 87.65 88.38 87.47
Fractional positions:
1 F 0.805 0.190 0.204
2 F 0.334 0.313 0.463
3 F 0.814 0.201 0.792
4 F 0.271 0.264 0.994
5 Li 0.476 0.476 0.201
6 Pm 0.000 0.000 0.500
7 F 0.195 0.810 0.796
8 Li 0.524 0.524 0.799
9 F 0.186 0.799 0.208
10 F 0.729 0.736 0.006
11 Al 0.000 0.000 0.000
12 F 0.666 0.687 0.537

Symmetry ... P-1, No. 2
E_form (uncorrected) ... -3462 meV/atom
Total moment ... 0.00 μB per formula unit